This record from Alexandria describes Mg2Si3 after structural relaxation. The functional is PBE.

Geometry as POSCAR:
```
Mg2Si3
1.0
-2.2234 -2.6725 0.5507
5.2104 -1.4680 2.8517
-3.1976 6.1674 5.9437
Si Mg
6 4
Cartesian
1.4861 -1.3643 5.1876
1.6266 0.4714 3.3477
0.5938 -1.2664 1.9724
-0.8044 3.2932 7.3738
-1.6968 3.3911 4.1585
-1.8373 1.5554 5.9984
-3.9662 3.3233 5.9472
3.7555 -1.2965 3.3990
0.9602 1.4972 5.7712
-1.1708 0.5296 3.5750
```

Summary:
The total magnetization is 0.00 μB per formula unit. As for the raw formation energy: 9 kJ per mole of atoms.



This record from Alexandria describes TmSc2Tl after structural relaxation. The functional is PBE.

Geometry as POSCAR:
```
TmSc2Tl
1.0
3.4347 0.0000 0.0000
0.0000 3.4347 0.0000
0.0000 0.0000 8.6352
Sc Tm Tl
2 1 1
Cartesian
0.0000 0.0000 1.9976
0.0000 0.0000 6.6376
1.7174 1.7174 4.3176
1.7174 1.7174 0.0000
```

Summary:
The total magnetization is 0.00 μB per formula unit. For the formation energy, the calculation gives -0.53 eV per formula unit.



This record from Alexandria describes MnAuSe2 after structural relaxation. The functional is PBE.

Geometry as POSCAR:
```
MnAuSe2
1.0
4.9494 1.2588 6.0315
6.6142 -1.5160 4.0515
7.0197 2.0959 2.9649
Mn Se Au
1 2 1
Cartesian
9.2917 0.9194 6.5239
16.5944 1.6419 11.6513
1.9890 0.1968 1.3965
0.0000 0.0000 0.0000
```

Summary:
The total magnetization is 4.00 μB per formula unit. As for the raw formation energy: -26 kJ per mole of atoms.



This record from Alexandria describes Ca2Sm3Mg2 after structural relaxation. The functional is PBE.

Geometry as POSCAR:
```
Ca2Sm3Mg2
1.0
-2.9181 2.2673 0.4385
-2.2407 -2.8940 0.0529
3.1955 -2.1690 16.6900
Sm Mg Ca
3 2 2
Cartesian
0.3621 -2.3309 14.4624
-2.3254 -0.4648 2.7190
0.0000 0.0000 0.0000
0.4719 -0.2814 4.5954
-0.1945 0.3797 12.5331
-0.0809 -2.0667 10.1481
-1.8823 -0.7289 7.0333
```

Summary:
The total magnetization is 0.00 μB per formula unit. For the formation energy, the calculation gives 0.00 eV per formula unit.



This record from Alexandria describes NaTaAs2 after structural relaxation. The functional is PBE.

Geometry as POSCAR:
```
NaTaAs2
1.0
-1.8255 -2.1516 -2.1610
-1.3937 -3.0174 1.2589
-7.6263 2.0473 1.4812
As Na Ta
2 1 1
Cartesian
-6.2272 1.2424 1.1008
-2.4715 -0.9184 0.0796
-5.4270 -1.5584 0.2907
-9.7689 -1.4007 0.8788
```

Summary:
The total magnetization is 0.00 μB per formula unit. For the formation energy, the calculation gives -1.57 eV per formula unit.



This record from Alexandria describes Ca3Si2AgAu9 after structural relaxation. The functional is PBE.

Geometry as POSCAR:
```
Ca3Si2AgAu9
1.0
-2.5868 -5.4364 -0.3050
3.8917 1.2417 4.4330
-8.3720 3.6284 6.3336
Au Si Ca Ag
9 2 3 1
Cartesian
-6.0060 0.9531 5.0057
0.6525 -2.0974 2.0640
1.9459 0.6208 2.2165
-1.0611 -1.5194 5.4558
-5.3351 -1.2035 7.1280
-1.7320 0.6371 3.3336
0.2688 1.2755 5.6126
-1.2934 -2.7182 -0.1525
-7.3359 -1.8418 4.8489
0.4039 -0.4087 3.8585
-7.4710 -0.1577 6.6030
-3.1633 1.1373 6.5572
0.0000 0.0000 0.0000
-3.9038 -1.7037 3.9044
-4.1860 1.8142 3.1668
```

Summary:
The total magnetization is 0.00 μB per formula unit. As for the raw formation energy: -33 kJ per mole of atoms.



This record from Alexandria describes Hf2MgV after structural relaxation. The functional is PBE.

Geometry as POSCAR:
```
Hf2MgV
1.0
-0.9491 2.0160 2.6272
-1.5278 -3.8527 2.4046
4.3454 -0.5026 1.9556
Hf V Mg
2 1 1
Cartesian
-0.7639 -1.9264 1.2023
2.1727 -0.2513 0.9778
-0.4746 1.0080 1.3136
0.9343 -1.1697 3.4937
```

Summary:
The total magnetization is 2.73 μB per formula unit. For the formation energy, the calculation gives 0.82 eV per formula unit.



This record from Alexandria describes Be5Mo3 after structural relaxation. The functional is PBE.

Geometry as POSCAR:
```
Be5Mo3
1.0
-2.9993 5.3326 3.2320
-2.5358 -6.3902 0.7833
2.7072 -0.6374 3.5640
Mo Be
6 10
Cartesian
-1.5517 -0.5852 2.5076
-1.2762 -1.1099 5.0717
-1.1149 3.0263 2.8218
-0.8381 -3.9768 1.3589
0.8228 1.6689 3.9742
1.0095 -3.0508 2.9883
0.9428 -0.6859 3.4620
-1.4912 1.1063 4.1978
-0.0071 -5.6126 3.3023
-1.3367 -2.8013 3.3815
-3.7707 -1.0091 4.1173
-2.8448 1.4250 2.4158
0.0875 0.8885 1.5261
-0.3795 3.8067 5.2699
0.1785 -1.4150 1.0449
-2.6903 -2.4826 1.5995
```

Summary:
The total magnetization is 0.00 μB per formula unit. For the formation energy, the calculation gives 1.69 eV per formula unit.



What is the formula in the seventh record?
Hf2MgV



Which of these has the highest total magnetization?
MnAuSe2



total magnetization of number 8 (Be5Mo3)?
0.00 μB per formula unit